5
Lattice="4.897 0.000 0.000 0.000 4.897 0.000 0.000 0.000 4.897" Properties=species:S:1:pos:R:3 comment="HfAgAs3 | Alexandria via LeMat-Bulk | GGA-PBE | optimized geometry" de_polymorph_mev_per_atom=495 final_energy_ev_per_atom=-4.53 n_ef_per_ev_cell=4.061 delta_e_f_ev_per_atom=0.820 pbc="T T T"
As 0.000 2.449 0.000
As 0.000 0.000 2.449
As 2.449 0.000 0.000
Hf 2.449 2.449 2.449
Ag 0.000 0.000 0.000

10
Lattice="-6.723 3.091 0.174 -3.017 -6.450 -2.019 -0.324 -0.894 3.341" Properties=species:S:1:pos:R:3 comment="Hf2AgAs2 | Alexandria via LeMat-Bulk | GGA-PBE | optimized geometry" de_polymorph_mev_per_atom=0 final_energy_ev_per_atom=-7.00 n_ef_per_ev_cell=4.103 delta_e_f_ev_per_atom=-0.585 pbc="T T T"
As -4.942 -4.409 -1.660
As -7.685 -1.542 -1.159
As -4.799 1.050 -0.185
As -2.055 -1.817 -0.686
Hf -3.118 -4.171 0.387
Hf -7.092 -3.935 0.064
Hf -6.947 -0.082 1.109
Hf -2.973 -0.319 1.432
Ag 0.000 0.000 0.000
Ag -4.870 -1.680 -0.922

10
Lattice="-5.361 -3.953 2.897 -0.630 -3.702 -6.218 2.475 -2.465 1.216" Properties=species:S:1:pos:R:3 comment="HfAg2As2 | Alexandria via LeMat-Bulk | GGA-PBE | optimized geometry" final_energy_ev_per_atom=-5.04 n_ef_per_ev_cell=3.725 delta_e_f_ev_per_atom=-0.052 pbc="T T T"
As -2.333 -4.429 -4.227
As -4.904 -5.763 -1.700
As -3.659 -3.226 0.907
As -1.087 -1.892 -1.621
Hf 0.000 0.000 0.000
Hf -2.996 -3.828 -1.660
Ag 0.080 -4.159 -2.967
Ag -2.738 -6.946 -2.880
Ag -3.597 -5.961 0.863
Ag -0.778 -3.174 0.776